*one*
DFT (PBE) results for an optimized crystal structure of LaY3Tm6.

Summary:
- N(E_F): 1.30 states/eV per atom

abc: 9.4275 15.2823 8.8810
angles: 90.00 90.00 90.00
Space group Cmc2_1 (No. 36)
Asymmetric unit:
La  0.0000  0.2261  0.0000 [4 per cell]
Y  0.0000  0.4555  0.9108 [4 per cell]
Y  0.1715  0.1425  0.4265 [8 per cell]
Tm  0.0000  0.0535  0.7806 [4 per cell]
Tm  0.0000  0.2927  0.6340 [4 per cell]
Tm  0.1777  0.3516  0.2684 [8 per cell]
Tm  0.2398  0.0586  0.0953 [8 per cell]

*two*
DFT (PBE) results for an optimized crystal structure of LaY3Tm6.

Summary:
- N(E_F): 2.11 states/eV per atom

abc: 9.7966 9.7966 11.5798
angles: 90.00 90.00 120.00
Space group R3 (No. 146, hexagonal axes)
Asymmetric unit:
La  0.0000  0.0000  0.0000 [3 per cell]
Y  0.0000  0.0000  0.2489 [3 per cell]
Y  0.0000  0.0000  0.4979 [3 per cell]
Y  0.0000  0.0000  0.7433 [3 per cell]
Tm  0.0004  0.3319  0.3355 [9 per cell]
Tm  0.0015  0.6706  0.5027 [9 per cell]

It turns out *one* is the most stable, with the second structure 0.177 eV/atom higher.

*one*
DFT (PBE) results for an optimized crystal structure of La4YTm4.

Summary:
- N(E_F): 1.78 states/eV per atom

abc: 6.2139 6.2139 17.7880
angles: 90.00 90.00 90.00
Space group I-42m (No. 121)
Asymmetric unit:
La  0.0000  0.0000  0.1896 [4 per cell]
La  0.0000  0.5000  0.0000 [4 per cell]
Y  0.0000  0.0000  0.0000 [2 per cell]
Tm  0.1726  0.1726  0.6449 [8 per cell]

*two*
DFT (PBE) results for an optimized crystal structure of La4YTm4.

Summary:
- N(E_F): 1.80 states/eV per atom

abc: 10.8231 10.8231 5.1400
angles: 90.00 90.00 90.00
Space group I4/mmm (No. 139)
Asymmetric unit:
La  0.0000  0.3311  0.0000 [8 per cell]
Y  0.0000  0.0000  0.0000 [2 per cell]
Tm  0.1644  0.1644  0.5000 [8 per cell]

It turns out *two* is the most stable, with the second structure 0.786 eV/atom higher.